[1]
The following is a GGA-PBE calculation of an optimized crystal structure of BC, from the Alexandria database.

## Properties
**Density of states at the Fermi level**: 0.244 states/eV/atom
**DFT formation energy**: 0.42 eV/atom
**Energy relative to the lowest polymorph listed for this composition**: 52 kJ/mol of formula units

a = 13.626 Å, b = 2.604 Å, c = 4.728 Å
α = 90.00°, β = 103.69°, γ = 90.00°
Space group Cm (No. 8)
Asymmetric unit:
B: 0.000 0.000 0.000 [2 per cell]
B: 0.002 0.000 0.348 [2 per cell]
B: 0.043 0.500 0.617 [2 per cell]
B: 0.151 0.000 0.234 [2 per cell]
B: 0.357 0.000 0.728 [2 per cell]
B: 0.360 0.500 0.219 [2 per cell]
C: 0.161 0.500 0.731 [2 per cell]
C: 0.195 0.000 0.922 [2 per cell]
C: 0.201 0.500 0.448 [2 per cell]
C: 0.308 0.000 0.014 [2 per cell]
C: 0.311 0.500 0.508 [2 per cell]
C: 0.476 0.000 0.833 [2 per cell]

[2]
The following is a GGA-PBE calculation of an optimized crystal structure of BC, from the Alexandria database.

## Properties
**DFT formation energy**: 0.39 eV/atom
**Energy relative to the lowest polymorph listed for this composition**: 47 kJ/mol of formula units

a = 4.422 Å, b = 4.444 Å, c = 4.728 Å
α = 77.36°, β = 67.38°, γ = 75.56°
Space group P-1 (No. 2)
Asymmetric unit:
B: 0.136 0.342 0.420 [2 per cell]
B: 0.243 0.666 0.754 [2 per cell]
B: 0.250 0.798 0.251 [2 per cell]
C: 0.126 0.165 0.144 [2 per cell]
C: 0.367 0.307 0.847 [2 per cell]
C: 0.465 0.176 0.504 [2 per cell]

[3]
The following is a GGA-PBE calculation of an optimized crystal structure of B9C, from the Alexandria database.

## Properties
**Density of states at the Fermi level**: 0.149 states/eV/atom
**DFT formation energy**: 0.31 eV/atom
**Energy relative to the lowest polymorph listed for this composition**: 73 kJ/mol of formula units

a = 4.314 Å, b = 4.840 Å, c = 7.398 Å
α = 84.87°, β = 81.10°, γ = 80.01°
Space group P1 (No. 1)
Asymmetric unit:
B: 0.000 0.000 0.000 [1 per cell]
B: 0.000 0.753 0.194 [1 per cell]
B: 0.206 0.866 0.345 [1 per cell]
B: 0.258 0.444 0.734 [1 per cell]
B: 0.275 0.347 0.170 [1 per cell]
B: 0.301 0.212 0.961 [1 per cell]
B: 0.408 0.663 0.157 [1 per cell]
B: 0.413 0.847 0.935 [1 per cell]
B: 0.425 0.299 0.483 [1 per cell]
B: 0.572 0.619 0.357 [1 per cell]
B: 0.604 0.869 0.598 [1 per cell]
B: 0.642 0.212 0.654 [1 per cell]
B: 0.696 0.086 0.873 [1 per cell]
B: 0.778 0.702 0.017 [1 per cell]
B: 0.852 0.353 0.457 [1 per cell]
B: 0.853 0.512 0.662 [1 per cell]
B: 0.881 0.714 0.441 [1 per cell]
B: 0.941 0.384 0.907 [1 per cell]
C: 0.194 0.193 0.364 [1 per cell]
C: 0.439 0.696 0.750 [1 per cell]

[4]
The following is a GGA-PBE calculation of an optimized crystal structure of BC, from the Alexandria database.

## Properties
**Density of states at the Fermi level**: 0.076 states/eV/atom
**DFT formation energy**: 0.39 eV/atom
**Energy relative to the lowest polymorph listed for this composition**: 46 kJ/mol of formula units

a = 14.254 Å, b = 2.609 Å, c = 4.503 Å
α = 90.00°, β = 101.06°, γ = 90.00°
Space group Cm (No. 8)
Asymmetric unit:
B: 0.000 0.000 0.000 [2 per cell]
B: 0.004 0.500 0.424 [2 per cell]
B: 0.066 0.000 0.690 [2 per cell]
B: 0.077 0.500 0.142 [2 per cell]
B: 0.199 0.500 0.912 [2 per cell]
B: 0.356 0.500 0.740 [2 per cell]
C: 0.180 0.000 0.724 [2 per cell]
C: 0.188 0.500 0.249 [2 per cell]
C: 0.221 0.000 0.432 [2 per cell]
C: 0.333 0.000 0.534 [2 per cell]
C: 0.386 0.500 0.083 [2 per cell]
C: 0.393 0.000 0.283 [2 per cell]

[5]
The following is a GGA-PBE calculation of an optimized crystal structure of B3C2, from the Alexandria database.

## Properties
**Density of states at the Fermi level**: 0.124 states/eV/atom
**DFT formation energy**: 0.40 eV/atom
**Energy relative to the lowest polymorph listed for this composition**: 93 kJ/mol of formula units

a = 2.432 Å, b = 2.446 Å, c = 22.740 Å
α = 90.00°, β = 90.00°, γ = 90.00°
Space group Imm2 (No. 44)
Asymmetric unit:
B: 0.000 0.000 0.000 [2 per cell]
B: 0.000 0.000 0.175 [2 per cell]
B: 0.000 0.000 0.408 [2 per cell]
B: 0.000 0.000 0.791 [2 per cell]
B: 0.000 0.500 0.349 [2 per cell]
B: 0.000 0.500 0.734 [2 per cell]
C: 0.000 0.000 0.588 [2 per cell]
C: 0.000 0.500 0.128 [2 per cell]
C: 0.000 0.500 0.549 [2 per cell]
C: 0.000 0.500 0.954 [2 per cell]

[6]
The following is a GGA-PBE calculation of an optimized crystal structure of B7C5, from the Alexandria database.

## Properties
**Density of states at the Fermi level**: 0.159 states/eV/atom
**DFT formation energy**: 0.43 eV/atom
**Energy relative to the lowest polymorph listed for this composition**: 309 kJ/mol of formula units

a = 9.127 Å, b = 3.757 Å, c = 5.370 Å
α = 90.00°, β = 113.87°, γ = 90.00°
Space group C2 (No. 5)
Asymmetric unit:
B: 0.000 0.000 0.000 [2 per cell]
B: 0.155 0.456 0.328 [4 per cell]
B: 0.156 0.763 0.618 [4 per cell]
B: 0.189 0.717 0.077 [4 per cell]
C: 0.000 0.999 0.500 [2 per cell]
C: 0.009 0.231 0.740 [4 per cell]
C: 0.158 0.462 0.825 [4 per cell]

[7]
The following is a GGA-PBE calculation of an optimized crystal structure of B7C5, from the Alexandria database.

## Properties
**Density of states at the Fermi level**: 0.111 states/eV/atom
**DFT formation energy**: 0.30 eV/atom
**Energy relative to the lowest polymorph listed for this composition**: 157 kJ/mol of formula units

a = 16.400 Å, b = 2.676 Å, c = 4.633 Å
α = 90.00°, β = 105.67°, γ = 90.00°
Space group Cm (No. 8)
Asymmetric unit:
B: 0.000 0.000 0.000 [2 per cell]
B: 0.000 0.500 0.491 [2 per cell]
B: 0.056 0.500 0.881 [2 per cell]
B: 0.059 0.000 0.388 [2 per cell]
B: 0.170 0.500 0.325 [2 per cell]
B: 0.392 0.500 0.560 [2 per cell]
B: 0.393 0.000 0.060 [2 per cell]
C: 0.162 0.500 0.971 [2 per cell]
C: 0.164 0.000 0.493 [2 per cell]
C: 0.170 0.000 0.817 [2 per cell]
C: 0.399 0.000 0.400 [2 per cell]
C: 0.400 0.500 0.901 [2 per cell]

[8]
The following is a GGA-PBE calculation of an optimized crystal structure of BC, from the Alexandria database.

## Properties
**Density of states at the Fermi level**: 0.083 states/eV/atom
**DFT formation energy**: 0.35 eV/atom
**Energy relative to the lowest polymorph listed for this composition**: 39 kJ/mol of formula units

a = 8.017 Å, b = 2.650 Å, c = 6.160 Å
α = 90.00°, β = 101.76°, γ = 90.00°
Space group Cm (No. 8)
Asymmetric unit:
B: 0.000 0.000 0.000 [2 per cell]
B: 0.029 0.000 0.291 [2 per cell]
B: 0.162 0.500 0.440 [2 per cell]
B: 0.220 0.000 0.141 [2 per cell]
B: 0.399 0.500 0.522 [2 per cell]
C: 0.155 0.500 0.710 [2 per cell]
C: 0.219 0.000 0.843 [2 per cell]
C: 0.310 0.500 0.259 [2 per cell]
C: 0.416 0.000 0.886 [2 per cell]
C: 0.460 0.000 0.655 [2 per cell]

[9]
The following is a GGA-PBE calculation of an optimized crystal structure of B3C2, from the Alexandria database.

## Properties
**Density of states at the Fermi level**: 0.157 states/eV/atom
**DFT formation energy**: 0.37 eV/atom
**Energy relative to the lowest polymorph listed for this composition**: 79 kJ/mol of formula units

a = 2.7200 Å, b = 2.7200 Å, c = 36.3878 Å
α = 90.00°, β = 90.00°, γ = 120.00°
Space group R3m (No. 160, hexagonal axes)
Asymmetric unit:
B: 0.0000 0.0000 0.0000 [3 per cell]
B: 0.0000 0.0000 0.0505 [3 per cell]
B: 0.0000 0.0000 0.4073 [3 per cell]
B: 0.0000 0.0000 0.6148 [3 per cell]
B: 0.0000 0.0000 0.7871 [3 per cell]
B: 0.0000 0.0000 0.8839 [3 per cell]
C: 0.0000 0.0000 0.2225 [3 per cell]
C: 0.0000 0.0000 0.2661 [3 per cell]
C: 0.0000 0.0000 0.4510 [3 per cell]
C: 0.0000 0.0000 0.6632 [3 per cell]

[10]
The following is a GGA-PBE calculation of an optimized crystal structure of B7C5, from the Alexandria database.

## Properties
**Density of states at the Fermi level**: 0.171 states/eV/atom
**DFT formation energy**: 0.38 eV/atom
**Energy relative to the lowest polymorph listed for this composition**: 247 kJ/mol of formula units

a = 8.466 Å, b = 2.517 Å, c = 8.151 Å
α = 90.00°, β = 114.58°, γ = 90.00°
Space group Cm (No. 8)
Asymmetric unit:
B: 0.000 0.000 0.000 [2 per cell]
B: 0.014 0.500 0.496 [2 per cell]
B: 0.132 0.000 0.218 [2 per cell]
B: 0.229 0.000 0.037 [2 per cell]
B: 0.258 0.500 0.551 [2 per cell]
B: 0.396 0.500 0.165 [2 per cell]
B: 0.413 0.000 0.679 [2 per cell]
C: 0.129 0.500 0.714 [2 per cell]
C: 0.212 0.000 0.826 [2 per cell]
C: 0.228 0.500 0.344 [2 per cell]
C: 0.407 0.000 0.870 [2 per cell]
C: 0.418 0.500 0.373 [2 per cell]